Entry 1:
VASP calculation (GGA-PBE) on Pr3Nd2Ga3 after structural relaxation.

Computed properties:
Magnetization, μB/f.u.: 0.00

Geometry as CIF:
```
data_Pr3Nd2Ga3
_symmetry_space_group_name_H-M 'I m m m'
_symmetry_Int_Tables_number 71
_symmetry_space_group_name_Hall '-I 2 2'
_cell_length_a 3.7910
_cell_length_b 5.3288
_cell_length_c 22.4405
_cell_angle_alpha 90.00
_cell_angle_beta 90.00
_cell_angle_gamma 90.00
loop_
_atom_site_label
_atom_site_type_symbol
_atom_site_fract_x
_atom_site_fract_y
_atom_site_fract_z
_atom_site_occupancy
Pr1 Pr 0.0000 0.0000 0.0000 1
Pr2 Pr 0.0000 0.5000 0.1152 1
Nd1 Nd 0.0000 0.0000 0.2271 1
Ga1 Ga 0.0000 0.0000 0.5000 1
Ga2 Ga 0.0000 0.5000 0.3821 1
```



Entry 2:
VASP calculation (GGA-PBE) on Pr4Nd5Ga4 after structural relaxation.

Computed properties:
Magnetization, μB/f.u.: 0.00

Geometry as CIF:
```
data_Pr4Nd5Ga4
_symmetry_space_group_name_H-M 'I 4/m'
_symmetry_Int_Tables_number 87
_symmetry_space_group_name_Hall '-I 4'
_cell_length_a 12.1232
_cell_length_b 12.1232
_cell_length_c 5.2231
_cell_angle_alpha 90.00
_cell_angle_beta 90.00
_cell_angle_gamma 90.00
loop_
_atom_site_label
_atom_site_type_symbol
_atom_site_fract_x
_atom_site_fract_y
_atom_site_fract_z
_atom_site_occupancy
Pr1 Pr 0.0948 0.6281 0.0000 1
Nd1 Nd 0.0000 0.0000 0.0000 1
Nd2 Nd 0.1112 0.8154 0.5000 1
Ga1 Ga 0.1146 0.2301 0.0000 1
```



no.,V (Å³ per cell),energy of formation from the pure elements (eV per atom)
1,453,-0.396
2,768,-0.365